[1]
Density functional theory data (GGA-PBE) for a relaxed structure of SrMg2InHg.

```
data_SrMg2InHg
_space_group_name_H-M_alt 'I 4 m m'
_space_group_IT_number 107
_space_group_name_Hall 'I 4 -2'
_cell_length_a 4.5986
_cell_length_b 4.5986
_cell_length_c 12.9325
_cell_angle_alpha 90.00
_cell_angle_beta 90.00
_cell_angle_gamma 90.00
loop_
_atom_site_label
_atom_site_type_symbol
_atom_site_fract_x
_atom_site_fract_y
_atom_site_fract_z
Sr1 Sr 0.0000 0.0000 0.0000
Mg1 Mg 0.0000 0.5000 0.2459
In1 In 0.0000 0.0000 0.3893
Hg1 Hg 0.0000 0.0000 0.6123
```

Output
VASP energy	-18.8	eV for the cell shown
volume	27.3	Å³/atom

[2]
Density functional theory data (GGA-PBE) for a relaxed structure of Tm3Mg3TlInHg.

```
data_Tm3Mg3TlInHg
_space_group_name_H-M_alt 'P -6'
_space_group_IT_number 174
_cell_length_a 7.4566
_cell_length_b 7.4566
_cell_length_c 4.5263
_cell_angle_alpha 90.00
_cell_angle_beta 90.00
_cell_angle_gamma 120.00
loop_
_space_group_symop_operation_xyz
'x,y,z'
'-x+y,-x,-z'
'-y,x-y,z'
'x,y,-z'
'-x+y,-x,z'
'-y,x-y,-z'
loop_
_atom_site_label
_atom_site_type_symbol
_atom_site_fract_x
_atom_site_fract_y
_atom_site_fract_z
Tm1 Tm 0.0890 0.7550 0.0000
Mg1 Mg 0.4272 0.0931 0.5000
Tl1 Tl 0.0000 0.0000 0.5000
In1 In 0.3333 0.6667 0.5000
Hg1 Hg 0.6667 0.3333 0.0000
```

Output
size of the total moment	0.00	μB/f.u.
VASP energy	-26.7	eV for the cell shown
volume	24.2	Å³/atom

[3]
Density functional theory data (GGA-PBE) for a relaxed structure of Tm3Mg3In2Hg.

```
data_Tm3Mg3In2Hg
_space_group_name_H-M_alt 'P -6 2 m'
_space_group_IT_number 189
_space_group_name_Hall 'P -6 -2'
_cell_length_a 7.4278
_cell_length_b 7.4278
_cell_length_c 4.5871
_cell_angle_alpha 90.00
_cell_angle_beta 90.00
_cell_angle_gamma 120.00
loop_
_atom_site_label
_atom_site_type_symbol
_atom_site_fract_x
_atom_site_fract_y
_atom_site_fract_z
Tm1 Tm 0.0000 0.4226 0.0000
Mg1 Mg 0.0000 0.7608 0.5000
In1 In 0.3333 0.6667 0.5000
Hg1 Hg 0.0000 0.0000 0.0000
```

Output
size of the total moment	0.00	μB/f.u.
VASP energy	-27.3	eV for the cell shown
volume	24.4	Å³/atom